Density functional theory data (PBE) for an optimized crystal structure of YCdCuAg.

```
4
Lattice="-2.451 1.157 4.015 -0.964 4.642 0.997 -4.541 1.655 -0.326" Properties=species:S:1:pos:R:3 pbc="T T T"
Cd -3.978 3.727 2.343
Ag 0.000 0.000 0.000
Y -5.967 5.591 3.514
Cu -1.989 1.864 1.171
```

Results
The space-group type is F-43m, No. 216. For the formation energy, the calculation gives -0.11 eV per atom. Its crystal system is cubic.

=====

Density functional theory data (PBE) for an optimized crystal structure of YCdCuAg.

```
4
Lattice="0.000 3.417 3.417 3.417 0.000 3.417 3.417 3.417 0.000" Properties=species:S:1:pos:R:3 pbc="T T T"
Y 5.125 5.125 5.125
Cu 3.417 3.417 3.417
Cd 0.000 0.000 0.000
Ag 1.708 1.708 1.708
```

Results
The space-group type is F-43m, No. 216. For the formation energy, the calculation gives -0.15 eV per atom. Its crystal system is cubic.

=====

Density functional theory data (PBE) for an optimized crystal structure of YCdCuAg.

```
4
Lattice="0.000 3.415 3.415 3.415 0.000 3.415 3.415 3.415 0.000" Properties=species:S:1:pos:R:3 pbc="T T T"
Ag 0.000 0.000 0.000
Cd 1.708 1.708 1.708
Y 5.123 5.123 5.123
Cu 3.415 3.415 3.415
```

Results
The space-group type is F-43m, No. 216. For the formation energy, the calculation gives -0.24 eV per atom. Its crystal system is cubic.

=====

Density functional theory data (PBE) for an optimized crystal structure of ZrCdCuAg.

```
4
Lattice="4.159 -0.053 2.118 0.334 -1.359 4.453 2.031 -4.069 1.053" Properties=species:S:1:pos:R:3 pbc="T T T"
Zr 4.893 -4.110 5.718
Ag 1.631 -1.370 1.906
Cd 0.000 0.000 0.000
Cu 3.262 -2.740 3.812
```

Results
The space-group type is F-43m, No. 216. For the formation energy, the calculation gives -0.02 eV per atom. Its crystal system is cubic.

=====

Density functional theory data (PBE) for an optimized crystal structure of ZrCdCuAg.

```
4
Lattice="3.415 1.125 3.000 -0.518 3.663 2.872 -0.596 -0.692 4.593" Properties=species:S:1:pos:R:3 pbc="T T T"
Cu 0.575 1.024 2.616
Cd 1.151 2.048 5.232
Zr 1.726 3.072 7.849
Ag 0.000 0.000 0.000
```

Results
The space-group type is F-43m, No. 216. For the formation energy, the calculation gives 0.03 eV per atom. Its crystal system is cubic.

=====

Density functional theory data (PBE) for an optimized crystal structure of ZrCdCuAg.

```
4
Lattice="0.000 3.299 3.299 3.299 0.000 3.299 3.299 3.299 0.000" Properties=species:S:1:pos:R:3 pbc="T T T"
Ag 0.000 0.000 0.000
Cu 3.299 3.299 3.299
Cd 1.650 1.650 1.650
Zr 4.949 4.949 4.949
```

Results
The space-group type is F-43m, No. 216. For the formation energy, the calculation gives -0.10 eV per atom. Its crystal system is cubic.

=====

Density functional theory data (PBE) for an optimized crystal structure of DyCdAg4.

```
6
Lattice="2.795 1.613 4.556 -2.795 1.613 4.556 0.000 -3.227 4.556" Properties=species:S:1:pos:R:3 pbc="T T T"
Dy 0.000 0.000 10.252
Cd 0.000 0.000 0.009
Ag 1.400 0.809 7.402
Ag 0.000 0.000 5.118
Ag 0.000 -1.617 7.402
Ag -1.400 0.809 7.402
```

Results
The space-group type is R3m, No. 160. For the formation energy, the calculation gives -0.21 eV per atom. Its crystal system is trigonal.

=====

Density functional theory data (PBE) for an optimized crystal structure of Dy5CdAg4.

```
10
Lattice="-3.604 -0.540 0.227 0.329 -3.035 -2.003 2.440 -9.846 15.323" Properties=species:S:1:pos:R:3 pbc="T T T"
Ag 1.461 -5.894 9.173
Ag 0.494 -1.993 3.102
Ag 0.979 -3.952 6.150
Ag 1.946 -7.853 12.222
Cd 0.000 0.000 0.000
Dy -0.901 -4.762 3.741
Dy 0.065 -8.659 9.806
Dy -1.381 -2.823 0.722
Dy 0.546 -10.599 12.825
Dy -0.418 -6.711 6.774
```

Results
The space-group type is P4/mmm, No. 123. For the formation energy, the calculation gives -0.33 eV per atom. Its crystal system is tetragonal.

=====

Density functional theory data (PBE) for an optimized crystal structure of Dy2ErCd3Ag3.

```
9
Lattice="-2.370 2.767 -1.378 -6.000 -3.206 3.885 4.402 5.488 3.447" Properties=species:S:1:pos:R:3 pbc="T T T"
Cd -0.028 2.829 0.223
Cd -2.765 0.541 0.338
Cd -2.361 3.062 4.706
Ag -0.259 3.964 2.901
Ag -3.708 1.082 3.046
Ag -0.001 0.001 0.004
Dy -3.573 -1.909 2.314
Dy 2.622 3.268 2.053
Er -0.647 0.923 2.967
```

Results
The space-group type is Amm2, No. 38. For the formation energy, the calculation gives -0.33 eV per atom. Its crystal system is orthorhombic.

=====

Density functional theory data (PBE) for an optimized crystal structure of DyErCd2Ag4.

```
8
Lattice="4.927 0.000 0.000 0.000 4.927 0.000 0.000 0.000 6.967" Properties=species:S:1:pos:R:3 pbc="T T T"
Ag 2.463 0.000 5.208
Ag 2.463 0.000 1.759
Ag 0.000 2.463 5.208
Ag 0.000 2.463 1.759
Dy 0.000 0.000 0.000
Cd 2.463 2.463 0.000
Cd 0.000 0.000 3.484
Er 2.463 2.463 3.484
```

Results
The space-group type is P4/mmm, No. 123. For the formation energy, the calculation gives -0.29 eV per atom. Its crystal system is tetragonal.

=====

Density functional theory data (PBE) for an optimized crystal structure of Dy3Cd3Ga2Ag.

```
9
Lattice="7.345 0.000 0.000 -3.672 6.361 0.000 0.000 0.000 4.345" Properties=species:S:1:pos:R:3 pbc="T T T"
Cd 0.927 1.605 2.172
Cd -2.746 4.756 2.172
Cd 5.492 0.000 2.172
Ga 3.672 2.120 2.172
Ga 0.000 4.240 2.172
Dy -1.542 2.671 0.000
Dy 2.130 3.690 0.000
Dy 3.084 0.000 0.000
Ag 0.000 0.000 0.000
```

Results
The space-group type is P-62m, No. 189. Its raw total energy is -29.76 eV/cell. Its crystal system is hexagonal.

=====

Density functional theory data (PBE) for an optimized crystal structure of GdDyCd2Ag4.

```
8
Lattice="-3.885 -2.723 -1.431 2.879 -4.030 -0.149 -1.530 -1.341 6.704" Properties=species:S:1:pos:R:3 pbc="T T T"
Ag -2.324 -1.696 0.957
Ag 1.058 -2.350 1.598
Ag 0.291 -3.022 4.958
Ag -3.091 -2.368 4.317
Gd -1.268 -4.047 2.562
Cd -0.503 -3.377 -0.790
Cd -0.765 -0.670 3.352
Dy 0.000 0.000 0.000
```

Results
The space-group type is P4/mmm, No. 123. For the formation energy, the calculation gives -0.30 eV per atom. Its crystal system is tetragonal.

=====

Density functional theory data (PBE) for an optimized crystal structure of Gd2DyCd3Ag3.

```
9
Lattice="3.925 0.000 0.000 0.000 6.812 3.941 0.000 -6.812 3.941" Properties=species:S:1:pos:R:3 pbc="T T T"
Ag 0.000 0.000 7.876
Ag 1.963 2.259 3.944
Ag 1.963 -2.259 3.944
Cd 1.963 1.784 6.844
Cd 1.963 -1.784 6.844
Cd 1.963 0.000 2.072
Gd 0.000 -2.755 1.594
Gd 0.000 2.755 1.594
Dy 0.000 0.000 4.693
```

Results
The space-group type is Amm2, No. 38. For the formation energy, the calculation gives -0.34 eV per atom. Its crystal system is orthorhombic.

=====

Density functional theory data (PBE) for an optimized crystal structure of Dy2HoCd3AgHg2.

```
9
Lattice="-2.400 -3.148 0.696 3.922 -1.524 6.630 -6.229 4.779 0.140" Properties=species:S:1:pos:R:3 pbc="T T T"
Hg -0.666 -0.995 4.810
Hg -4.040 1.100 2.653
Ho -0.935 1.319 2.744
Dy -3.898 3.873 4.080
Dy 0.220 1.316 6.712
Cd -2.793 -0.351 0.384
Cd -2.918 0.849 5.388
Cd -0.197 -1.964 2.044
Ag -0.001 0.002 0.004
```

Results
The space-group type is Amm2, No. 38. For the formation energy, the calculation gives -0.40 eV per atom. Its crystal system is orthorhombic.

=====

Density functional theory data (PBE) for an optimized crystal structure of NdDy2Cd3AgHg2.

```
9
Lattice="4.095 0.000 0.000 0.000 6.852 3.935 0.000 -6.852 3.935" Properties=species:S:1:pos:R:3 pbc="T T T"
Cd 2.047 5.120 4.927
Cd 2.047 0.000 5.880
Cd 2.047 -5.120 4.927
Dy 0.000 -4.079 2.345
Dy 0.000 4.079 2.345
Nd 0.000 0.000 3.198
Ag 0.000 0.000 7.835
Hg 2.047 -2.336 3.948
Hg 2.047 2.336 3.948
```

Results
The space-group type is Amm2, No. 38. For the formation energy, the calculation gives -0.40 eV per atom. Its crystal system is orthorhombic.

=====

Density functional theory data (PBE) for an optimized crystal structure of Dy2YCd3AgHg2.

```
9
Lattice="4.036 0.000 0.000 0.000 6.810 3.931 0.000 -6.810 3.931" Properties=species:S:1:pos:R:3 pbc="T T T"
Dy 2.018 2.761 1.594
Dy 2.018 -2.761 1.594
Cd 0.000 0.000 2.009
Cd 0.000 -1.737 6.858
Cd 0.000 1.737 6.858
Y 2.018 0.000 4.674
Hg 0.000 -2.277 3.929
Hg 0.000 2.277 3.929
Ag 2.018 0.000 0.006
```

Results
The space-group type is Amm2, No. 38. For the formation energy, the calculation gives -0.40 eV per atom. Its crystal system is orthorhombic.

=====

Density functional theory data (PBE) for an optimized crystal structure of DyHo2Cd3Ag3.

```
9
Lattice="-1.653 -0.737 -3.449 -2.269 -7.040 2.592 -4.686 6.216 0.917" Properties=species:S:1:pos:R:3 pbc="T T T"
Ag -4.706 1.435 -0.251
Ag -3.898 -2.996 0.309
Ag -0.002 0.000 0.001
Ho -0.918 -2.848 1.048
Ho -1.895 2.514 0.371
Cd -4.277 4.206 -1.048
Cd -2.658 -0.586 -0.800
Cd -2.499 -5.550 0.184
Dy -4.142 -0.491 2.090
```

Results
The space-group type is Amm2, No. 38. For the formation energy, the calculation gives -0.33 eV per atom. Its crystal system is orthorhombic.

=====

Density functional theory data (PBE) for an optimized crystal structure of Dy2HoCd3Ag3.

```
9
Lattice="-0.402 2.665 2.819 4.556 -4.300 4.715 3.208 5.421 -4.669" Properties=species:S:1:pos:R:3 pbc="T T T"
Cd 1.848 1.628 1.422
Cd 6.362 3.585 0.214
Cd 6.717 1.026 2.685
Ag 3.459 3.509 -0.127
Ag 3.908 0.278 2.992
Ag 7.762 1.121 0.046
Ho 4.624 0.668 0.027
Dy 1.297 2.192 -1.888
Dy 1.843 -1.739 1.907
```

Results
The space-group type is Amm2, No. 38. For the formation energy, the calculation gives -0.34 eV per atom. Its crystal system is orthorhombic.

=====

Density functional theory data (PBE) for an optimized crystal structure of Dy2HoMg3Cd2Ag.

```
9
Lattice="4.189 0.000 0.000 0.000 6.741 3.898 0.000 -6.741 3.898" Properties=species:S:1:pos:R:3 pbc="T T T"
Mg 2.094 -1.646 0.954
Mg 2.094 0.000 5.890
Mg 2.094 1.646 0.954
Ho 0.000 0.000 3.169
Cd 2.094 2.241 3.897
Cd 2.094 -2.241 3.897
Dy 0.000 -2.742 6.211
Dy 0.000 2.742 6.211
Ag 0.000 0.000 0.004
```

Results
The space-group type is Amm2, No. 38. Its raw total energy is -25.36 eV/cell. Its crystal system is orthorhombic.

=====

Density functional theory data (PBE) for an optimized crystal structure of DyHo2Mg3Cd2Ag.

```
9
Lattice="-0.288 -3.910 1.463 4.492 -2.515 -5.841 3.231 2.272 6.710" Properties=species:S:1:pos:R:3 pbc="T T T"
Ho 1.918 1.348 3.982
Ho 2.666 -1.493 -3.466
Mg 4.185 -0.298 6.011
Mg 5.137 -3.914 -3.468
Mg 5.693 -2.139 1.388
Cd 3.508 -1.276 3.263
Cd 3.930 -2.877 -0.932
Dy 3.143 -0.099 0.353
Ag 7.719 -0.243 0.868
```

Results
The space-group type is Amm2, No. 38. Its raw total energy is -25.32 eV/cell. Its crystal system is orthorhombic.